Below is a relaxed structure of Zn4Cu10Au, with properties calculated at the PBE-GGA level.

The structure belongs to space group C2/m (No. 12); the cell edges are 9.666, 7.154 and 6.840 Å and the angles 90.00°, 117.98° and 90.00°. The distinct sites, in fractional coordinates, are Zn at (0.148, 0.000, 0.275), Zn at (0.208, 0.500, 0.168), Cu at (0.000, 0.254, 0.000), Cu at (0.110, 0.324, 0.416), Cu at (0.175, 0.319, 0.816) and Au at (0.000, 0.000, 0.500).

The value obtained for the density of states at the Fermi level is 0.22 states/eV per atom. The total moment is 0.0 μB/cell.

=====

Below is a relaxed structure of ZnCu2Au4, with properties calculated at the PBE-GGA level.

The structure belongs to space group I4/mmm (No. 139); the cell edges are 6.519, 6.519 and 5.606 Å and the angles 90.00°, 90.00° and 90.00°. The distinct sites, in fractional coordinates, are Zn at (0.000, 0.000, 0.000), Cu at (0.000, 0.500, 0.000) and Au at (0.250, 0.250, 0.250).

The value obtained for the density of states at the Fermi level is 0.25 states/eV per atom. The total moment is 0.0 μB/cell.

=====

Below is a relaxed structure of Zn4Cu3Au2, with properties calculated at the PBE-GGA level.

The structure belongs to space group P-1 (No. 2); the cell edges are 3.818, 4.670 and 8.305 Å and the angles 104.72°, 90.20° and 113.94°. The distinct sites, in fractional coordinates, are Zn at (0.009, 0.017, 0.345), Zn at (0.339, 0.678, 0.112), Cu at (0.000, 0.000, 0.000), Cu at (0.340, 0.678, 0.447) and Au at (0.329, 0.658, 0.778).

The value obtained for the density of states at the Fermi level is 0.30 states/eV per atom. The total moment is 0.0 μB/cell.

=====

Below is a relaxed structure of Zn2Cu4Au, with properties calculated at the PBE-GGA level.

The structure belongs to space group P-1 (No. 2); the cell edges are 4.957, 5.043 and 8.939 Å and the angles 84.09°, 87.36° and 60.87°. The distinct sites, in fractional coordinates, are Zn at (0.187, 0.122, 0.005), Zn at (0.312, 0.879, 0.495), Cu at (0.001, 0.490, 0.209), Cu at (0.007, 0.007, 0.746), Cu at (0.490, 0.509, 0.292), Cu at (0.498, 0.993, 0.755), Au at (0.000, 0.500, 0.500) and Au at (0.500, 0.500, 0.000).

The value obtained for the density of states at the Fermi level is 0.26 states/eV per atom. The total moment is 0.0 μB/cell.

=====

Below is a relaxed structure of Zn2Cu7Au2, with properties calculated at the PBE-GGA level.

The structure belongs to space group Imm2 (No. 44); the cell edges are 4.309, 10.626 and 6.734 Å and the angles 90.00°, 90.00° and 90.00°. The distinct sites, in fractional coordinates, are Zn at (0.000, 0.000, 0.000), Zn at (0.000, 0.500, 0.168), Cu at (0.000, 0.000, 0.395), Cu at (0.000, 0.140, 0.697), Cu at (0.000, 0.368, 0.479), Cu at (0.000, 0.374, 0.855) and Au at (0.000, 0.219, 0.171).

The value obtained for the density of states at the Fermi level is 0.30 states/eV per atom. The total moment is 0.0 μB/cell.

=====

Below is a relaxed structure of Zn2Cu3Au2, with properties calculated at the PBE-GGA level.

The structure belongs to space group P-1 (No. 2); the cell edges are 2.807, 6.396 and 6.640 Å and the angles 61.97°, 89.67° and 77.36°. The distinct sites, in fractional coordinates, are Zn at (0.086, 0.338, 0.424), Cu at (0.000, 0.500, 0.000), Cu at (0.298, 0.896, 0.722) and Au at (0.367, 0.773, 0.177).

The value obtained for the density of states at the Fermi level is 0.32 states/eV per atom. The total moment is 0.0 μB/cell.

=====

Below is a relaxed structure of Zn2Cu2Au5, with properties calculated at the PBE-GGA level.

The structure belongs to space group Cmce (No. 64); the cell edges are 12.868, 6.904 and 6.843 Å and the angles 90.00°, 90.00° and 90.00°. The distinct sites, in fractional coordinates, are Zn at (0.208, 0.000, 0.000), Cu at (0.000, 0.130, 0.376), Au at (0.000, 0.000, 0.000) and Au at (0.138, 0.170, 0.673).

The value obtained for the density of states at the Fermi level is 0.31 states/eV per atom. The total moment is 0.0 μB/cell.

=====

Below is a relaxed structure of ZnCu3Au, with properties calculated at the PBE-GGA level.

The structure belongs to space group R3m (No. 160, hexagonal axes); the cell edges are 6.7061, 6.7061 and 6.7487 Å and the angles 90.00°, 90.00° and 120.00°. The distinct sites, in fractional coordinates, are Zn at (0.0000, 0.0000, 0.0000), Cu at (0.2120, 0.4240, 0.3616) and Au at (0.0000, 0.0000, 0.3654).

The value obtained for the density of states at the Fermi level is 0.45 states/eV per atom. The total moment is 0.0 μB/cell.

=====

Below is a relaxed structure of Zn2Cu2Au, with properties calculated at the PBE-GGA level.

The structure belongs to space group I4/mmm (No. 139); the cell edges are 3.547, 3.547 and 12.052 Å and the angles 90.00°, 90.00° and 90.00°. The distinct sites, in fractional coordinates, are Zn at (0.000, 0.500, 0.250), Cu at (0.000, 0.000, 0.099) and Au at (0.000, 0.000, 0.500).

The value obtained for the density of states at the Fermi level is 0.28 states/eV per atom. The total moment is 0.0 μB/cell.

=====

Below is a relaxed structure of Zn4Cu5Au, with properties calculated at the PBE-GGA level.

The structure belongs to space group P4/mmm (No. 123); the cell edges are 3.009, 3.009 and 14.835 Å and the angles 90.00°, 90.00° and 90.00°. The distinct sites, in fractional coordinates, are Zn at (0.000, 0.000, 0.097), Zn at (0.000, 0.000, 0.292), Cu at (0.500, 0.500, 0.000), Cu at (0.500, 0.500, 0.195), Cu at (0.500, 0.500, 0.386) and Au at (0.000, 0.000, 0.500).

The value obtained for the density of states at the Fermi level is 0.27 states/eV per atom. The total moment is 0.0 μB/cell.

=====

Below is a relaxed structure of Zn4Cu6Au, with properties calculated at the PBE-GGA level.

The structure belongs to space group I-42m (No. 121); the cell edges are 5.735, 5.735 and 10.205 Å and the angles 90.00°, 90.00° and 90.00°. The distinct sites, in fractional coordinates, are Zn at (0.247, 0.247, 0.323), Cu at (0.000, 0.500, 0.000), Cu at (0.155, 0.155, 0.095) and Au at (0.000, 0.000, 0.500).

The value obtained for the density of states at the Fermi level is 0.22 states/eV per atom. The total moment is 0.0 μB/cell.

=====

Below is a relaxed structure of Zn11Cu9Au4, with properties calculated at the PBE-GGA level.

The structure belongs to space group Cmmm (No. 65); the cell edges are 12.781, 18.224 and 2.928 Å and the angles 90.00°, 90.00° and 90.00°. The distinct sites, in fractional coordinates, are Zn at (0.000, 0.000, 0.000), Zn at (0.000, 0.186, 0.000), Zn at (0.000, 0.365, 0.000), Zn at (0.203, 0.000, 0.000), Zn at (0.220, 0.182, 0.000), Cu at (0.000, 0.500, 0.500), Cu at (0.104, 0.095, 0.500), Cu at (0.110, 0.272, 0.500) and Au at (0.167, 0.416, 0.500).

The value obtained for the density of states at the Fermi level is 0.18 states/eV per atom. The total moment is 0.0 μB/cell.

=====

Below is a relaxed structure of Zn5Cu2Au12, with properties calculated at the PBE-GGA level.

The structure belongs to space group C2/m (No. 12); the cell edges are 13.146, 7.367 and 6.865 Å and the angles 90.00°, 98.66° and 90.00°. The distinct sites, in fractional coordinates, are Zn at (0.000, 0.000, 0.000), Zn at (0.164, 0.500, 0.437), Zn at (0.242, 0.000, 0.053), Cu at (0.000, 0.195, 0.500), Au at (0.041, 0.500, 0.715), Au at (0.107, 0.301, 0.083), Au at (0.135, 0.000, 0.348) and Au at (0.186, 0.200, 0.707).

The value obtained for the density of states at the Fermi level is 0.36 states/eV per atom. The total moment is 0.0 μB/cell.

=====

Below is a relaxed structure of Zn6CuAu2, with properties calculated at the PBE-GGA level.

The structure belongs to space group C2/m (No. 12); the cell edges are 8.637, 3.995 and 8.257 Å and the angles 90.00°, 107.59° and 90.00°. The distinct sites, in fractional coordinates, are Zn at (0.002, 0.000, 0.329), Zn at (0.161, 0.500, 0.555), Zn at (0.165, 0.500, 0.896), Cu at (0.000, 0.000, 0.000) and Au at (0.172, 0.500, 0.224).

The value obtained for the density of states at the Fermi level is 0.25 states/eV per atom. The total moment is 0.0 μB/cell.

=====

Below is a relaxed structure of Zn8CuAu2, with properties calculated at the PBE-GGA level.

The structure belongs to space group C2/m (No. 12); the cell edges are 11.820, 6.786 and 4.729 Å and the angles 90.00°, 103.00° and 90.00°. The distinct sites, in fractional coordinates, are Zn at (0.062, 0.186, 0.293), Zn at (0.148, 0.000, 0.843), Zn at (0.229, 0.500, 0.595), Cu at (0.000, 0.500, 0.500) and Au at (0.127, 0.500, 0.036).

The value obtained for the density of states at the Fermi level is 0.24 states/eV per atom. The total moment is 0.0 μB/cell.

=====

Below is a relaxed structure of ZnCu12Au3, with properties calculated at the PBE-GGA level.

The structure belongs to space group P4/mmm (No. 123); the cell edges are 3.749, 3.749 and 15.140 Å and the angles 90.00°, 90.00° and 90.00°. The distinct sites, in fractional coordinates, are Zn at (0.000, 0.000, 0.000), Cu at (0.000, 0.500, 0.118), Cu at (0.000, 0.500, 0.373), Cu at (0.500, 0.500, 0.000), Cu at (0.500, 0.500, 0.245), Cu at (0.500, 0.500, 0.500), Au at (0.000, 0.000, 0.247) and Au at (0.000, 0.000, 0.500).

The value obtained for the density of states at the Fermi level is 0.27 states/eV per atom. The total moment is 0.0 μB/cell.

=====

Below is a relaxed structure of Zn5Cu2Au12, with properties calculated at the PBE-GGA level.

The structure belongs to space group C2/m (No. 12); the cell edges are 13.808, 5.566 and 9.438 Å and the angles 90.00°, 98.03° and 90.00°. The distinct sites, in fractional coordinates, are Zn at (0.000, 0.000, 0.000), Zn at (0.161, 0.500, 0.403), Zn at (0.199, 0.500, 0.919), Cu at (0.000, 0.273, 0.500), Au at (0.004, 0.000, 0.726), Au at (0.019, 0.500, 0.762), Au at (0.147, 0.252, 0.137) and Au at (0.180, 0.248, 0.648).

The value obtained for the density of states at the Fermi level is 0.36 states/eV per atom. The total moment is 0.0 μB/cell.

=====

Below is a relaxed structure of Zn2Cu2Au, with properties calculated at the PBE-GGA level.

The structure belongs to space group P4/mbm (No. 127); the cell edges are 7.051, 7.051 and 2.870 Å and the angles 90.00°, 90.00° and 90.00°. The distinct sites, in fractional coordinates, are Zn at (0.170, 0.330, 0.000), Cu at (0.126, 0.626, 0.500) and Au at (0.000, 0.000, 0.500).

The value obtained for the density of states at the Fermi level is 0.32 states/eV per atom. The total moment is 0.0 μB/cell.

=====

Below is a relaxed structure of ZnCu2Au5, with properties calculated at the PBE-GGA level.

The structure belongs to space group I4/mmm (No. 139); the cell edges are 5.733, 5.733 and 7.937 Å and the angles 90.00°, 90.00° and 90.00°. The distinct sites, in fractional coordinates, are Zn at (0.000, 0.000, 0.000), Cu at (0.000, 0.500, 0.000), Au at (0.000, 0.000, 0.500) and Au at (0.250, 0.250, 0.250).

The value obtained for the density of states at the Fermi level is 0.54 states/eV per atom. The total moment is 0.0 μB/cell.

=====

Below is a relaxed structure of Zn6CuAu2, with properties calculated at the PBE-GGA level.

The structure belongs to space group C2/m (No. 12); the cell edges are 13.386, 7.246 and 3.128 Å and the angles 90.00°, 101.06° and 90.00°. The distinct sites, in fractional coordinates, are Zn at (0.000, 0.211, 0.000), Zn at (0.162, 0.312, 0.652), Cu at (0.000, 0.500, 0.500) and Au at (0.165, 0.000, 0.157).

The value obtained for the density of states at the Fermi level is 0.24 states/eV per atom. The total moment is 0.0 μB/cell.

=====

For the records above, the corresponding calculated formation energy values read 75.5, -48.2, -132.1, 2.0, 10.7, -58.0, -36.0, 327.4, 62.1, -82.1, 138.7, -95.5, -89.9, -118.8, -14.9, -39.7, -35.6, -69.6, -60.9, -97.4 meV/atom.